1.
# BaAl2Te (GGA-PBE, relaxed)
data_BaAl2Te
_chemical_formula_sum 'Ba3 Al6 Te3'
_space_group_name_H-M_alt 'R -3 m'
_space_group_IT_number 166
_space_group_name_Hall '-R 3 2"'
_cell_length_a 3.9941
_cell_length_b 3.9941
_cell_length_c 27.5759
_cell_angle_alpha 90.00
_cell_angle_beta 90.00
_cell_angle_gamma 120.00
loop_
_atom_site_label
_atom_site_type_symbol
_atom_site_fract_x
_atom_site_fract_y
_atom_site_fract_z
Ba1 Ba 0.0000 0.0000 0.0000
Al1 Al 0.0000 0.0000 0.2332
Te1 Te 0.0000 0.0000 0.5000
# - Volume: 381.0 Å³ per cell
# - Raw formation energy: 0.04 eV/atom

2.
# AcCeDy2S4 (GGA-PBE, relaxed)
data_AcCeDy2S4
_chemical_formula_sum 'Ac1 Ce1 Dy2 S4'
_space_group_name_H-M_alt 'P 1 2/m 1'
_space_group_IT_number 10
_cell_length_a 6.9458
_cell_length_b 3.9891
_cell_length_c 7.1172
_cell_angle_alpha 90.00
_cell_angle_beta 108.83
_cell_angle_gamma 90.00
loop_
_space_group_symop_operation_xyz
'x,y,z'
'-x,-y,-z'
'-x,y,-z'
'x,-y,z'
loop_
_atom_site_label
_atom_site_type_symbol
_atom_site_fract_x
_atom_site_fract_y
_atom_site_fract_z
Ac1 Ac 0.0000 0.0000 0.0000
Ce1 Ce 0.5000 0.5000 0.0000
Dy1 Dy 0.0000 0.5000 0.5000
Dy2 Dy 0.5000 0.0000 0.5000
S1 S 0.2504 0.0000 0.7312
S2 S 0.2650 0.5000 0.2748
# - Volume: 186.6 Å³ per cell
# - Raw formation energy: -1.99 eV/atom

What are the size of the total moment values for these records? In order: 0.44; 0.95 μB/f.u..